1.
First-principles (PBE-GGA) data for crystalline MnGaPH at its relaxed geometry, as listed in Alexandria via LeMat-Bulk.

Cell lengths 7.012, 7.012, 7.012 Å; angles 23.21, 23.21, 23.21 degrees
Fractional coordinates of all 4 atoms:
1 Mn 0.000 0.000 0.000
2 Ga 0.136 0.136 0.136
3 P 0.259 0.259 0.259
4 H 0.702 0.702 0.702

M_tot   0.000 μB per formula unit
DFT total energy   -5.254 eV per atom

***

2.
First-principles (PBE-GGA) data for crystalline MnGaPH at its relaxed geometry, as listed in Alexandria via LeMat-Bulk.

Cell lengths 7.366, 7.366, 2.752 Å; angles 100.42, 100.42, 21.54 degrees
Fractional coordinates of all 4 atoms:
1 Mn 0.000 0.000 0.000
2 Ga 0.368 0.368 0.372
3 P 0.577 0.577 0.575
4 H 0.678 0.678 0.672

M_tot   0.262 μB per formula unit
DFT total energy   -5.319 eV per atom

***

3.
First-principles (PBE-GGA) data for crystalline MnGaPH at its relaxed geometry, as listed in Alexandria via LeMat-Bulk.

Cell lengths 2.909, 2.909, 5.097 Å; angles 90.00, 90.00, 90.00 degrees
Fractional coordinates of all 4 atoms:
1 Mn 0.000 0.000 0.000
2 Ga 0.500 0.500 0.309
3 P 0.500 0.500 0.773
4 H 0.000 0.000 0.319

M_tot   0.000 μB per formula unit
DFT total energy   -5.362 eV per atom

***

4.
First-principles (PBE-GGA) data for crystalline MnGaPH at its relaxed geometry, as listed in Alexandria via LeMat-Bulk.

Cell lengths 2.813, 2.813, 6.362 Å; angles 90.00, 90.00, 90.00 degrees
Fractional coordinates of all 4 atoms:
1 Mn 0.000 0.000 0.000
2 Ga 0.500 0.500 0.274
3 P 0.500 0.500 0.834
4 H 0.500 0.500 0.597

M_tot   0.000 μB per formula unit
DFT total energy   -5.325 eV per atom

***

5.
First-principles (PBE-GGA) data for crystalline MnGaPH at its relaxed geometry, as listed in Alexandria via LeMat-Bulk.

Cell lengths 3.022, 3.022, 7.569 Å; angles 100.20, 100.20, 55.58 degrees
Fractional coordinates of all 4 atoms:
1 Mn 0.000 0.000 0.000
2 Ga 0.406 0.406 0.273
3 P 0.628 0.628 0.819
4 H 0.570 0.570 0.623

M_tot   1.142 μB per formula unit
DFT total energy   -5.218 eV per atom

***

6.
First-principles (PBE-GGA) data for crystalline MnGaPH at its relaxed geometry, as listed in Alexandria via LeMat-Bulk.

Cell lengths 4.115, 4.115, 5.315 Å; angles 123.14, 123.14, 42.33 degrees
Fractional coordinates of all 4 atoms:
1 Mn 0.000 0.000 0.000
2 Ga 0.329 0.329 0.539
3 P 0.284 0.284 0.983
4 H 0.025 0.025 0.320

M_tot   0.000 μB per formula unit
DFT total energy   -5.308 eV per atom